# 1
The following is a PBE-GGA calculation of a relaxed Cs8AuI4Br3 crystal, from Alexandria via LeMat-Bulk.

a = 10.759 Å, b = 10.795 Å, c = 10.760 Å
α = 119.89°, β = 120.00°, γ = 90.00°
Fractional coordinates of all 16 atoms:
Cs 0.256 0.265 0.011
Cs 0.745 0.734 0.489
Cs 0.255 0.266 0.511
Cs 0.754 0.265 0.509
Cs 0.246 0.735 0.989
Cs 0.754 0.265 0.011
Cs 0.744 0.735 0.989
Cs 0.246 0.735 0.491
Br 0.500 0.500 0.500
Br 0.500 0.500 0.000
Br 0.000 0.500 0.500
I 0.000 0.000 0.000
I 0.500 0.000 0.500
I 0.500 0.000 0.000
I 0.000 0.000 0.500
Au 0.000 0.500 0.000

V (Å³/cell): 885
E_form (uncorrected) (eV/atom): -1.48

# 2
The following is a PBE-GGA calculation of a relaxed Cs6Au3IBr2 crystal, from Alexandria via LeMat-Bulk.

a = 5.275 Å, b = 10.618 Å, c = 11.842 Å
α = 103.20°, β = 102.87°, γ = 90.00°
Fractional coordinates of all 12 atoms:
Cs 0.332 0.419 0.665
Cs 0.671 0.089 0.341
Cs 0.001 0.262 0.003
Cs 0.999 0.738 0.997
Cs 0.329 0.911 0.659
Cs 0.668 0.581 0.335
I 0.500 0.000 0.000
Br 0.168 0.335 0.336
Br 0.832 0.665 0.664
Au 0.500 0.500 0.000
Au 0.834 0.168 0.668
Au 0.166 0.832 0.332

V (Å³/cell): 629
E_form (uncorrected) (eV/atom): -1.01

# 3
The following is a PBE-GGA calculation of a relaxed Cs6Au2IBr2 crystal, from Alexandria via LeMat-Bulk.

a = 9.219 Å, b = 9.219 Å, c = 9.123 Å
α = 99.34°, β = 99.34°, γ = 120.27°
Fractional coordinates of all 11 atoms:
I 0.000 0.000 0.500
Br 0.164 0.836 0.000
Br 0.836 0.164 0.000
Cs 0.254 0.254 0.242
Cs 0.932 0.575 0.252
Cs 0.068 0.425 0.748
Cs 0.575 0.932 0.252
Cs 0.425 0.068 0.748
Cs 0.746 0.746 0.758
Au 0.337 0.663 0.500
Au 0.663 0.337 0.500

V (Å³/cell): 633
E_form (uncorrected) (eV/atom): -1.03

Q: Which of these has the lowest V?
A: Cs6Au3IBr2